# Y2Sn2Hg (PBE, relaxed)
data_Y2Sn2Hg
_symmetry_space_group_name_H-M 'P 1'
_symmetry_Int_Tables_number 1
_cell_length_a 7.7391
_cell_length_b 7.7391
_cell_length_c 4.4575
_cell_angle_alpha 90.00
_cell_angle_beta 90.00
_cell_angle_gamma 90.00
loop_
_symmetry_equiv_pos_as_xyz
'x,y,z'
loop_
_atom_site_label
_atom_site_type_symbol
_atom_site_fract_x
_atom_site_fract_y
_atom_site_fract_z
_atom_site_occupancy
Y1 Y 0.1740 0.3260 0.0000 1
Y2 Y 0.3260 0.8260 0.0000 1
Y3 Y 0.6740 0.1740 0.0000 1
Y4 Y 0.8260 0.6740 0.0000 1
Sn1 Sn 0.1309 0.6309 0.5000 1
Sn2 Sn 0.3691 0.1309 0.5000 1
Sn3 Sn 0.6309 0.8691 0.5000 1
Sn4 Sn 0.8691 0.3691 0.5000 1
Hg1 Hg 0.0000 0.0000 0.5000 1
Hg2 Hg 0.5000 0.5000 0.5000 1
# SG = No. 127
# excess energy over the best structure of this formula in the dataset = 19 meV per atom
# E_tot = -4.807 eV per atom

***

# YSn2Hg2 (PBE, relaxed)
data_YSn2Hg2
_symmetry_space_group_name_H-M 'P 1'
_symmetry_Int_Tables_number 1
_cell_length_a 4.2428
_cell_length_b 4.2428
_cell_length_c 15.4218
_cell_angle_alpha 90.00
_cell_angle_beta 90.00
_cell_angle_gamma 90.00
loop_
_symmetry_equiv_pos_as_xyz
'x,y,z'
loop_
_atom_site_label
_atom_site_type_symbol
_atom_site_fract_x
_atom_site_fract_y
_atom_site_fract_z
_atom_site_occupancy
Y1 Y 0.0000 0.0000 0.0000 1
Y2 Y 0.5000 0.5000 0.5000 1
Sn1 Sn 0.0000 0.5000 0.2500 1
Sn2 Sn 0.0000 0.5000 0.7500 1
Sn3 Sn 0.5000 0.0000 0.2500 1
Sn4 Sn 0.5000 0.0000 0.7500 1
Hg1 Hg 0.0000 0.0000 0.4041 1
Hg2 Hg 0.0000 0.0000 0.5959 1
Hg3 Hg 0.5000 0.5000 0.0959 1
Hg4 Hg 0.5000 0.5000 0.9041 1
# SG = No. 139
# excess energy over the best structure of this formula in the dataset = 119 meV per atom
# E_tot = -3.077 eV per atom

***

# Y2Sn2Hg (PBE, relaxed)
data_Y2Sn2Hg
_symmetry_space_group_name_H-M 'P 1'
_symmetry_Int_Tables_number 1
_cell_length_a 8.8745
_cell_length_b 8.8745
_cell_length_c 3.6395
_cell_angle_alpha 90.00
_cell_angle_beta 90.00
_cell_angle_gamma 90.00
loop_
_symmetry_equiv_pos_as_xyz
'x,y,z'
loop_
_atom_site_label
_atom_site_type_symbol
_atom_site_fract_x
_atom_site_fract_y
_atom_site_fract_z
_atom_site_occupancy
Y1 Y 0.1428 0.3572 0.0000 1
Y2 Y 0.3572 0.8572 0.0000 1
Y3 Y 0.6428 0.1428 0.0000 1
Y4 Y 0.8572 0.6428 0.0000 1
Sn1 Sn 0.1606 0.6606 0.5000 1
Sn2 Sn 0.3394 0.1606 0.5000 1
Sn3 Sn 0.6606 0.8394 0.5000 1
Sn4 Sn 0.8394 0.3394 0.5000 1
Hg1 Hg 0.0000 0.0000 0.0000 1
Hg2 Hg 0.5000 0.5000 0.0000 1
# SG = No. 127
# excess energy over the best structure of this formula in the dataset = 143 meV per atom
# E_tot = -4.682 eV per atom

***

# YSn2Hg2 (PBE, relaxed)
data_YSn2Hg2
_symmetry_space_group_name_H-M 'P 1'
_symmetry_Int_Tables_number 1
_cell_length_a 8.2361
_cell_length_b 8.2361
_cell_length_c 3.8568
_cell_angle_alpha 90.00
_cell_angle_beta 90.00
_cell_angle_gamma 90.00
loop_
_symmetry_equiv_pos_as_xyz
'x,y,z'
loop_
_atom_site_label
_atom_site_type_symbol
_atom_site_fract_x
_atom_site_fract_y
_atom_site_fract_z
_atom_site_occupancy
Y1 Y 0.0000 0.0000 0.0000 1
Y2 Y 0.5000 0.5000 0.0000 1
Sn1 Sn 0.1774 0.3226 0.5000 1
Sn2 Sn 0.3226 0.8226 0.5000 1
Sn3 Sn 0.6774 0.1774 0.5000 1
Sn4 Sn 0.8226 0.6774 0.5000 1
Hg1 Hg 0.1261 0.6261 0.0000 1
Hg2 Hg 0.3739 0.1261 0.0000 1
Hg3 Hg 0.6261 0.8739 0.0000 1
Hg4 Hg 0.8739 0.3739 0.0000 1
# SG = No. 127
# excess energy over the best structure of this formula in the dataset = 0 meV per atom
# E_tot = -3.196 eV per atom

***

# Y2Sn2Hg (PBE, relaxed)
data_Y2Sn2Hg
_symmetry_space_group_name_H-M 'P 1'
_symmetry_Int_Tables_number 1
_cell_length_a 4.1714
_cell_length_b 4.1714
_cell_length_c 16.5740
_cell_angle_alpha 90.00
_cell_angle_beta 90.00
_cell_angle_gamma 90.00
loop_
_symmetry_equiv_pos_as_xyz
'x,y,z'
loop_
_atom_site_label
_atom_site_type_symbol
_atom_site_fract_x
_atom_site_fract_y
_atom_site_fract_z
_atom_site_occupancy
Y1 Y 0.0000 0.0000 0.1019 1
Y2 Y 0.0000 0.0000 0.8981 1
Y3 Y 0.5000 0.5000 0.3981 1
Y4 Y 0.5000 0.5000 0.6019 1
Sn1 Sn 0.0000 0.5000 0.2500 1
Sn2 Sn 0.0000 0.5000 0.7500 1
Sn3 Sn 0.5000 0.0000 0.2500 1
Sn4 Sn 0.5000 0.0000 0.7500 1
Hg1 Hg 0.0000 0.0000 0.5000 1
Hg2 Hg 0.5000 0.5000 0.0000 1
# SG = No. 139
# excess energy over the best structure of this formula in the dataset = 267 meV per atom
# E_tot = -4.559 eV per atom

***

# YSnHg (PBE, relaxed)
data_YSnHg
_symmetry_space_group_name_H-M 'P 1'
_symmetry_Int_Tables_number 1
_cell_length_a 6.9516
_cell_length_b 6.9516
_cell_length_c 6.9516
_cell_angle_alpha 90.00
_cell_angle_beta 90.00
_cell_angle_gamma 90.00
loop_
_symmetry_equiv_pos_as_xyz
'x,y,z'
loop_
_atom_site_label
_atom_site_type_symbol
_atom_site_fract_x
_atom_site_fract_y
_atom_site_fract_z
_atom_site_occupancy
Y1 Y 0.0000 0.0000 0.0000 1
Y2 Y 0.0000 0.5000 0.5000 1
Y3 Y 0.5000 0.0000 0.5000 1
Y4 Y 0.5000 0.5000 0.0000 1
Sn1 Sn 0.0000 0.0000 0.5000 1
Sn2 Sn 0.0000 0.5000 0.0000 1
Sn3 Sn 0.5000 0.0000 0.0000 1
Sn4 Sn 0.5000 0.5000 0.5000 1
Hg1 Hg 0.2500 0.2500 0.2500 1
Hg2 Hg 0.2500 0.7500 0.7500 1
Hg3 Hg 0.7500 0.2500 0.7500 1
Hg4 Hg 0.7500 0.7500 0.2500 1
# SG = No. 216
# E_tot = -3.940 eV per atom

***

Number 1: DOS at the Fermi energy 3.72 states/eV/cell. Number 2: DOS at the Fermi energy 6.49 states/eV/cell. Number 3: DOS at the Fermi energy 8.33 states/eV/cell. Number 4: DOS at the Fermi energy 4.17 states/eV/cell. Number 5: DOS at the Fermi energy 10.31 states/eV/cell. Number 6: DOS at the Fermi energy 7.83 states/eV/cell.